Compound: VAgO
Source: the Alexandria database
Functional: PBE with a Hubbard U
Structure: optimized geometry

Calculated values
SG: No. 11
total energy: -0.4321 Ry per atom

Structure (POSCAR):
```
VAgO
1.0
3.435 0.000 0.000
0.000 4.239 0.000
-0.146 0.000 6.258
V Ag O
2 2 2
Direct
0.242 0.250 0.382 V
0.758 0.750 0.618 V
0.252 0.750 0.019 Ag
0.748 0.250 0.981 Ag
0.246 0.750 0.452 O
0.754 0.250 0.548 O
```